LiYSeO (PBE, optimized geometry); electronic total energy = -6.5802 eV per atom
1.0
-2.5377 -3.0008 0.0086
2.0331 -1.7277 -2.8856
5.0327 -4.2386 6.0836
Li Y Se O
2 2 2 2
Direct
0.5000 0.5000 0.0000
0.0000 0.0000 0.0000
0.5000 0.0000 0.6237
0.0000 0.5000 0.3763
0.0000 0.5000 0.8201
0.5000 0.0000 0.1799
0.0000 0.0000 0.5000
0.5000 0.5000 0.5000

LiZn2SeO6 (PBE, optimized geometry); electronic total energy = -4.7626 eV per atom
1.0
-0.7575 1.4439 -5.3489
-7.4780 -0.6818 -1.6619
1.0590 7.5907 -0.6379
Li Zn Se O
2 4 2 12
Direct
0.2500 0.9424 0.0576
0.7500 0.0576 0.9424
0.3543 0.7049 0.5401
0.1457 0.4599 0.2951
0.6457 0.2951 0.4599
0.8543 0.5401 0.7049
0.2500 0.1817 0.8183
0.7500 0.8183 0.1817
0.1702 0.9845 0.8020
0.3298 0.1980 0.0155
0.8298 0.0155 0.1980
0.6702 0.8020 0.9845
0.4633 0.8605 0.3682
0.0367 0.6318 0.1395
0.5367 0.1395 0.6318
0.9633 0.3682 0.8605
0.0107 0.6864 0.5568
0.4893 0.4432 0.3136
0.9893 0.3136 0.4432
0.5107 0.5568 0.6864

LiZn2SeO (PBE, optimized geometry); electronic total energy = -2.9244 eV per atom
1.0
3.9070 0.0000 0.0000
0.0000 6.4209 0.0000
0.0000 0.0000 3.9070
Zn O Se Li
2 1 1 1
Direct
0.0000 0.0000 0.5000
0.5000 0.0000 0.0000
0.0000 0.0000 0.0000
0.0000 0.5000 0.0000
0.5000 0.5000 0.5000

LiZnSe2O6 (PBE, optimized geometry); electronic total energy = -5.0009 eV per atom
1.0
6.7645 -0.1464 -0.1520
1.9868 6.2995 -0.2414
1.9868 -0.4747 6.2862
Li Zn Se O
2 2 4 12
Direct
0.2500 0.2663 0.7337
0.7500 0.7337 0.2663
0.2500 0.9362 0.0638
0.7500 0.0638 0.9362
0.2548 0.8299 0.5591
0.2452 0.4409 0.1701
0.7452 0.1701 0.4409
0.7548 0.5591 0.8299
0.1439 0.0044 0.7917
0.3561 0.2083 0.9956
0.8561 0.9956 0.2083
0.6439 0.7917 0.0044
0.2204 0.0067 0.3724
0.2796 0.6276 0.9933
0.7796 0.9933 0.6276
0.7204 0.3724 0.0067
0.0226 0.5303 0.7574
0.4774 0.2426 0.4697
0.9774 0.4697 0.2426
0.5226 0.7574 0.5303

LiZr2Se2O2 (PBE, optimized geometry); offset from the most stable computed form = 0.352 eV per atom
1.0
-1.5341 -0.5368 3.2253
-0.2004 -3.5405 -0.6846
8.3343 -1.1997 3.7646
Li Zr Se O
1 2 2 2
Direct
0.0000 0.0000 0.9276
0.0000 0.0000 0.1838
0.5000 0.5000 0.8519
0.0000 0.0000 0.6820
0.5000 0.5000 0.3105
0.0000 0.5000 0.9871
0.5000 0.0000 0.9871

LiZr2Se2O2 (PBE, optimized geometry); offset from the most stable computed form = 0.000 eV per atom
1.0
-3.3298 0.1975 -1.4555
0.4006 -3.3475 -1.3708
-3.5010 -3.5040 7.5338
Li Zr Se O
1 2 2 2
Direct
0.5000 0.5000 0.5000
0.0000 0.5000 0.1335
0.5000 0.0000 0.8665
0.0000 0.5000 0.7036
0.5000 0.0000 0.2964
0.0000 0.0000 0.0000
0.5000 0.5000 0.0000

LiZr2Se2O2 (PBE, optimized geometry); offset from the most stable computed form = 0.237 eV per atom
1.0
-0.7832 -1.2135 -3.1282
0.7318 -3.8388 1.3059
-8.9214 -0.8312 2.5560
Li Zr Se O
1 2 2 2
Direct
0.5000 0.0000 0.6789
0.0000 0.0000 0.0050
0.5000 0.5000 0.2491
0.0000 0.0000 0.3117
0.5000 0.5000 0.5416
0.5000 0.0000 0.8870
0.0000 0.5000 0.0668

Li4SiO4 (PBE, optimized geometry); electronic total energy = -5.9889 eV per atom
1.0
5.2047 -0.0024 -0.0066
0.0294 5.4090 -0.0152
0.0076 0.1383 6.1539
Li Si O
8 2 8
Direct
0.8335 0.1984 0.9923
0.7969 0.1776 0.5291
0.8171 0.6553 0.7629
0.3904 0.8477 0.5597
0.4009 0.2976 0.2249
0.1915 0.8059 0.9707
0.0805 0.5248 0.4275
0.0712 0.9811 0.2847
0.6676 0.6888 0.2465
0.3251 0.3204 0.7513
0.8075 0.8336 0.0434
0.7678 0.8278 0.4698
0.7612 0.3947 0.2631
0.6389 0.3361 0.7597
0.3476 0.6970 0.2502
0.1998 0.6015 0.7264
0.2301 0.1826 0.5197
0.2183 0.1722 0.9704

Li2SiO3 (PBE, optimized geometry); electronic total energy = -6.4792 eV per atom
1.0
-2.4522 1.2888 0.8395
-1.6486 -3.9450 1.2410
3.8286 1.9288 3.2317
Li Si O
2 1 3
Direct
0.8261 0.5680 0.6521
0.1739 0.9158 0.3479
0.5000 0.2751 0.0000
0.0000 0.0558 0.0000
0.3531 0.3172 0.7062
0.6469 0.6110 0.2938

LiSi3O (PBE, optimized geometry); offset from the most stable computed form = 0.000 eV per atom
1.0
4.2002 0.0000 0.0000
0.0000 4.2002 0.0000
0.0000 0.0000 4.2002
Si O Li
3 1 1
Direct
0.0000 0.5000 0.0000
0.0000 0.0000 0.5000
0.5000 0.0000 0.0000
0.0000 0.0000 0.0000
0.5000 0.5000 0.5000

Li4SiO4 (PBE, optimized geometry); electronic total energy = -5.9159 eV per atom
1.0
4.7719 0.0000 0.0000
0.0000 4.7719 0.0000
-2.3859 -2.3859 4.2608
Li Si O
4 1 4
Direct
0.5000 0.0000 0.0000
0.0000 0.5000 0.0000
0.2983 0.2983 0.5966
0.7017 0.7017 0.4034
0.0000 0.0000 0.0000
0.6884 0.6884 0.7824
0.3116 0.9060 0.2176
0.0940 0.0940 0.7824
0.9060 0.3116 0.2176

Li2Si2O5 (PBE, optimized geometry); offset from the most stable computed form = 0.083 eV per atom
1.0
-2.4066 -1.1614 -1.0175
4.1080 0.6162 -6.4020
2.4176 -4.6060 -0.4608
Li Si O
2 2 5
Direct
0.3109 0.6219 0.5654
0.6891 0.3781 0.4346
0.1102 0.2204 0.9751
0.8898 0.7796 0.0249
0.3703 0.7407 0.8688
0.6297 0.2593 0.1312
0.1733 0.3466 0.6794
0.8267 0.6534 0.3206
0.0000 0.0000 0.0000

Values of Fermi-level density of states, in order: 0.00 0.00 0.92 0.16 0.23 0.35 0.33 0.00 0.00 0.33 0.00 0.00, all in states/eV per atom.